AcTb4Ho6: relaxed, PBE-GGA.

The structure in POSCAR format:
```
AcTb4Ho6
1.0
-1.0214 -7.1194 -3.2188
-1.3282 -3.0407 7.1470
-5.0045 6.2590 -2.6109
Ac Tb Ho
1 4 6
Direct
0.5000 0.5000 0.0000 Ac
0.0919 0.7637 0.8555 Tb
0.9081 0.9081 0.1445 Tb
0.7637 0.0919 0.8555 Tb
0.2364 0.2364 0.1445 Tb
0.9583 0.4240 0.3823 Ho
0.4240 0.9583 0.3823 Ho
0.5760 0.5760 0.6177 Ho
0.0000 0.5000 0.0000 Ho
0.0417 0.0417 0.6177 Ho
0.5000 0.0000 0.0000 Ho
```

Properties
E = -4.122 eV per atom
calculated formation energy = 0.43 eV/atom
V = 393 Å³ per cell
space group = No. 121
DOS(E_F) = 18.1 states/eV per cell